Entry from the Alexandria database: LiCdH2S after structural relaxation (GGA-PBE).

Output
DFT total energy: -2.52 eV/atom
Calculated volume: 14.05 Å³/atom

Structure (CIF):
```
data_LiCdH2S
_chemical_formula_sum 'Li1 Cd1 H2 S1'
_space_group_name_H-M_alt 'P 4/m m m'
_space_group_IT_number 123
_space_group_name_Hall '-P 4 2'
_cell_length_a 3.693
_cell_length_b 3.693
_cell_length_c 5.153
_cell_angle_alpha 90.00
_cell_angle_beta 90.00
_cell_angle_gamma 90.00
loop_
_atom_site_label
_atom_site_fract_x
_atom_site_fract_y
_atom_site_fract_z
_atom_site_occupancy
Li1 0.000 0.000 0.000 1
Cd1 0.500 0.500 0.500 1
H1 0.000 0.500 0.000 1
S1 0.000 0.000 0.500 1
```



Entry from the Alexandria database: LiSc2CdH after structural relaxation (GGA-PBE).

Output
Polymorph energy (0 for the lowest one): 0.000 eV/atom
Calculated volume: 16.77 Å³/atom

Structure (CIF):
```
data_LiSc2CdH
_chemical_formula_sum 'Li1 Sc2 Cd1 H1'
_space_group_name_H-M_alt 'P 4/m m m'
_space_group_IT_number 123
_space_group_name_Hall '-P 4 2'
_cell_length_a 4.669
_cell_length_b 4.669
_cell_length_c 3.845
_cell_angle_alpha 90.00
_cell_angle_beta 90.00
_cell_angle_gamma 90.00
loop_
_atom_site_label
_atom_site_fract_x
_atom_site_fract_y
_atom_site_fract_z
_atom_site_occupancy
Li1 0.000 0.000 0.000 1
Sc1 0.000 0.500 0.500 1
Cd1 0.500 0.500 0.000 1
H1 0.000 0.000 0.500 1
```



Look up the calculated volume of the second one.
16.77 Å³/atom



Among the records above, which one has the lowest calculated volume?
LiCdH2S



calculated volume of number 1 (LiCdH2S)?
14.05 Å³/atom



calculated volume of number 2 (LiSc2CdH)?
16.77 Å³/atom